Material: CeDyFe4
Method: DFT, PBE
State: relaxed

```
6
Lattice="5.138 0.000 0.000 -2.569 4.450 0.000 2.569 1.483 4.195" Properties=species:S:1:pos:R:3 pbc="T T T"
Fe 1.282 2.226 1.574
Dy 0.000 0.000 0.000
Fe 5.138 2.967 3.668
Ce 2.569 4.450 3.147
Fe 0.000 4.447 1.574
Fe 3.856 2.226 1.574
```

## Properties
As for the density: 9.1 g cm⁻³. Its electronic total energy is -7.466 eV per atom.

---

Material: ScZnOs
Method: DFT, PBE
State: relaxed

```
3
Lattice="6.786 -0.015 0.011 5.993 2.744 0.023 0.793 -0.728 2.661" Properties=species:S:1:pos:R:3 pbc="T T T"
Sc 8.675 1.545 0.934
Os 0.795 -0.728 2.661
Zn 4.896 0.455 1.762
```

## Properties
As for the density: 10.0 g cm⁻³. Its electronic total energy is -6.245 eV per atom.

---

Material: BeReRh
Method: DFT, PBE
State: relaxed

```
6
Lattice="4.421 0.000 0.000 -2.211 4.294 0.009 -2.211 -1.482 4.030" Properties=species:S:1:pos:R:3 pbc="T T T"
Re -1.852 3.934 0.073
Be 0.359 3.605 1.803
Re 0.358 1.047 2.084
Rh 2.569 1.218 0.465
Rh -1.852 0.876 3.702
Be -1.851 2.782 2.375
```

## Properties
As for the density: 12.9 g cm⁻³. Its excess energy over the best structure of this formula in the dataset is 165 meV/atom.

---

Material: Ac8Tl2Pt
Method: DFT, PBE
State: relaxed

```
11
Lattice="-1.627 -5.139 -0.318 1.479 -0.939 7.600 -8.886 5.592 0.963" Properties=species:S:1:pos:R:3 pbc="T T T"
Tl -2.475 0.408 6.058
Ac -3.634 0.977 2.801
Ac -1.924 -2.452 3.622
Tl -6.560 -0.895 2.187
Ac -7.111 1.966 4.623
Ac -5.401 -1.464 5.444
Ac 0.925 -0.658 5.893
Ac -9.960 0.172 2.352
Ac -6.886 2.144 0.591
Pt -0.814 -2.569 -0.159
Ac -2.149 -2.630 7.654
```

## Properties
As for the density: 9.5 g cm⁻³. Its electronic total energy is -4.268 eV per atom.

---

Material: Fe2AuSe
Method: DFT, PBE
State: relaxed

```
4
Lattice="-3.150 2.454 -0.056 -2.549 1.290 -2.790 -4.365 -3.724 0.627" Properties=species:S:1:pos:R:3 pbc="T T T"
Fe -4.213 -3.557 0.589
Au -2.516 0.005 -0.555
Fe -5.185 -0.157 -1.072
Se -7.549 0.015 -1.665
```

## Properties
As for the density: 10.2 g cm⁻³. Its uncorrected formation energy is 319 meV per atom.

---

Material: RbTlSe2
Method: DFT, PBE
State: relaxed

```
4
Lattice="-3.120 3.084 1.200 1.495 -3.028 3.047 6.049 5.246 2.245" Properties=species:S:1:pos:R:3 pbc="T T T"
Tl 2.616 1.316 3.418
Rb 5.926 5.140 2.199
Se 4.455 2.911 4.101
Se 0.184 2.578 2.471
```

## Properties
As for the density: 5.0 g cm⁻³. Its excess energy over the best structure of this formula in the dataset is 195 meV/atom. Its uncorrected formation energy is -473 meV per atom.

---

Material: NaLa2Tb3Se6
Method: DFT, PBE
State: relaxed

```
12
Lattice="-4.088 0.599 -0.493 -1.164 -8.361 -0.502 1.234 1.548 9.204" Properties=species:S:1:pos:R:3 pbc="T T T"
Tb -1.231 -6.293 2.563
Se -2.398 0.333 2.729
La -0.664 -2.196 2.840
Se -2.994 -4.044 2.352
Se -1.025 -2.171 5.856
Na -2.044 0.299 -0.247
Se -3.146 0.003 8.526
La -3.354 -4.018 5.369
Se -1.620 -6.547 5.479
Tb -2.626 -3.881 -0.498
Se -0.872 -6.218 -0.318
Tb -2.788 0.078 5.645
```

## Properties
As for the density: 6.6 g cm⁻³. Its uncorrected formation energy is -1833 meV per atom.

---

Material: AcPrEr2Hg4
Method: DFT, PBE
State: relaxed

```
8
Lattice="-1.443 4.735 2.178 -3.466 3.231 -2.606 -8.479 -1.338 4.007" Properties=species:S:1:pos:R:3 pbc="T T T"
Er -3.404 1.624 0.929
Hg -9.174 1.867 3.294
Hg -7.516 6.445 1.154
Ac 0.000 0.000 0.000
Pr -6.694 3.314 1.790
Er -9.984 5.005 2.650
Hg -5.872 0.184 2.426
Hg -4.214 4.762 0.286
```

## Properties
As for the density: 11.0 g cm⁻³. Its electronic total energy is -2.839 eV per atom.

---

Material: YPW3
Method: DFT, PBE
State: relaxed

```
5
Lattice="4.844 0.000 0.000 0.000 4.844 0.000 0.000 0.000 4.844" Properties=species:S:1:pos:R:3 pbc="T T T"
P 2.422 2.422 2.422
W 0.000 0.000 2.422
Y 0.000 0.000 0.000
W 0.000 2.422 0.000
W 2.422 0.000 0.000
```

## Properties
As for the density: 9.8 g cm⁻³. Its excess energy over the best structure of this formula in the dataset is 2806 meV/atom.

---

Material: PaTcB2
Method: DFT, PBE
State: relaxed

```
16
Lattice="3.877 0.000 0.000 0.000 5.739 0.000 0.000 0.000 9.466" Properties=species:S:1:pos:R:3 pbc="T T T"
Pa 0.969 3.731 5.978
B 2.907 4.671 7.767
B 0.969 3.937 3.034
Tc 2.907 2.062 0.683
B 2.907 0.038 6.317
Tc 2.907 4.931 4.051
B 2.907 2.907 7.882
Tc 0.969 3.677 8.784
B 2.907 1.802 6.432
Pa 0.969 0.862 8.222
Pa 2.907 4.877 1.245
Tc 0.969 0.808 5.416
B 0.969 1.067 1.699
B 0.969 5.701 3.149
Pa 2.907 2.008 3.488
B 0.969 2.832 1.584
```

## Properties
As for the density: 11.1 g cm⁻³. Its excess energy over the best structure of this formula in the dataset is 143 meV/atom.

---

Material: CuTc2Ag
Method: DFT, PBE
State: relaxed

```
4
Lattice="4.380 0.000 0.000 2.190 3.793 0.000 2.190 1.264 3.576" Properties=species:S:1:pos:R:3 pbc="T T T"
Cu 6.570 3.793 2.682
Tc 0.000 0.000 0.000
Ag 4.380 2.529 1.788
Tc 2.190 1.264 0.894
```

## Properties
As for the density: 10.3 g cm⁻³. Its excess energy over the best structure of this formula in the dataset is 263 meV/atom.

---

Material: HfCoW2Br
Method: DFT, PBE
State: relaxed

```
5
Lattice="-4.762 1.230 0.760 -1.061 -1.586 -4.078 -0.846 -4.492 1.967" Properties=species:S:1:pos:R:3 pbc="T T T"
W -2.381 0.615 0.380
Br -3.334 -2.424 -0.676
Co -0.530 -0.793 -2.039
Hf 0.000 0.000 0.000
W -0.423 -2.246 0.983
```

## Properties
As for the density: 10.2 g cm⁻³. Its uncorrected formation energy is 2453 meV per atom.

---

Material: YZr2Hg
Method: DFT, PBE
State: relaxed

```
4
Lattice="10.667 0.005 0.003 10.157 3.260 0.003 10.157 1.592 2.844" Properties=species:S:1:pos:R:3 pbc="T T T"
Hg 7.745 1.214 0.713
Y 23.236 3.643 2.138
Zr 15.627 2.450 1.438
Zr 30.845 4.836 2.838
```

## Properties
As for the density: 7.9 g cm⁻³. Its electronic total energy is -5.909 eV per atom.

---

Material: Li2TiSe
Method: DFT, PBE
State: relaxed

```
8
Lattice="-7.043 -0.482 3.309 2.958 -4.498 5.640 -1.541 -0.451 5.838" Properties=species:S:1:pos:R:3 pbc="T T T"
Se -5.313 -1.712 6.811
Ti -2.042 -2.490 4.474
Li -2.880 -1.913 7.368
Li -4.538 -4.988 12.575
Ti -0.313 -3.719 7.976
Se 0.000 0.000 0.000
Li -4.875 -1.008 4.448
Li 1.041 -2.953 5.183
```

## Properties
As for the density: 3.1 g cm⁻³. Its uncorrected formation energy is -238 meV per atom.

---

Material: Tb7Pr6Y16
Method: DFT, PBE
State: relaxed

```
29
Lattice="9.770 0.000 5.641 3.257 9.211 5.641 0.000 0.000 11.281" Properties=species:S:1:pos:R:3 pbc="T T T"
Pr 5.008 6.735 13.889
Tb 0.000 0.000 5.641
Tb 6.513 4.606 5.641
Y 3.257 5.707 5.641
Y 4.550 3.217 7.880
Pr 5.008 6.735 8.673
Y 11.375 8.043 14.142
Y 8.477 5.994 7.880
Y 9.770 3.504 16.922
Tb 4.885 0.000 2.820
Y 6.467 1.168 5.641
Y 10.441 3.217 11.281
Y 6.513 0.440 11.281
Y 11.375 8.043 19.702
Tb 4.885 0.000 8.461
Tb 1.628 4.606 8.461
Y 6.513 8.771 11.281
Pr 8.019 2.476 8.673
Y 1.652 1.168 8.421
Y 6.560 8.043 16.922
Tb 0.000 0.000 0.000
Tb 1.628 4.606 2.820
Pr 8.019 2.476 13.889
Y 2.586 5.994 11.281
Y 4.550 3.217 14.682
Y 1.652 1.168 2.861
Pr 3.502 2.476 11.281
Pr 9.525 6.735 11.281
Y 8.477 5.994 14.682
```

## Properties
As for the density: 5.5 g cm⁻³. Its electronic total energy is -5.436 eV per atom.

---

Material: In5P
Method: DFT, PBE
State: relaxed

```
6
Lattice="1.147 -5.493 2.476 -4.391 -4.281 0.135 0.434 -4.953 -3.592" Properties=species:S:1:pos:R:3 pbc="T T T"
In -1.758 -9.214 -0.613
In -2.334 -6.453 -1.857
In -0.702 -3.682 -0.245
In -1.976 -6.725 1.192
P 0.000 0.000 0.000
In 0.449 -7.063 -0.681
```

## Properties
As for the density: 6.2 g cm⁻³. Its excess energy over the best structure of this formula in the dataset is 310 meV/atom.

---

Material: Er5Pu
Method: DFT, PBE
State: relaxed

```
6
Lattice="4.938 0.000 0.000 0.000 4.949 0.000 0.000 -2.474 7.336" Properties=species:S:1:pos:R:3 pbc="T T T"
Er 0.000 2.474 2.424
Er 2.469 2.474 4.927
Er 2.469 0.000 2.409
Er 0.000 0.000 4.912
Pu 0.000 0.000 0.000
Er 2.469 2.474 0.000
```

## Properties
As for the density: 10.0 g cm⁻³. Its excess energy over the best structure of this formula in the dataset is 28 meV/atom.

---

Material: YGaPb2
Method: DFT, PBE
State: relaxed

```
8
Lattice="8.376 0.000 0.000 0.000 8.376 0.000 4.188 4.188 3.169" Properties=species:S:1:pos:R:3 pbc="T T T"
Y 8.376 4.188 1.585
Pb 5.969 2.094 0.792
Pb 6.282 6.594 2.377
Pb 10.470 10.157 2.377
Ga 4.188 4.188 0.000
Ga 4.188 8.376 1.585
Y 0.000 0.000 0.000
Pb 2.407 6.282 0.792
```

## Properties
As for the density: 8.6 g cm⁻³. Its electronic total energy is -4.358 eV per atom.

---

Material: Tb8DyHg2
Method: DFT, PBE
State: relaxed

```
11
Lattice="5.545 -0.230 -0.345 -1.261 8.561 -0.635 -1.261 -3.883 7.656" Properties=species:S:1:pos:R:3 pbc="T T T"
Tb 1.512 5.658 1.050
Tb 0.069 -0.476 2.356
Tb 2.954 4.924 4.320
Hg -1.261 -0.077 5.120
Tb 1.512 -1.210 5.626
Dy 2.772 -0.115 -0.172
Tb 2.954 2.090 6.209
Tb 0.143 2.746 4.122
Hg -1.261 4.755 1.901
Tb 0.069 2.358 0.468
Tb 2.880 1.702 2.555
```

## Properties
As for the density: 8.9 g cm⁻³. Its electronic total energy is -3.892 eV per atom.

---

Material: Tc4Hg5
Method: DFT, PBE
State: relaxed

```
9
Lattice="-4.492 4.492 2.051 4.492 -4.492 2.051 4.492 4.492 -2.051" Properties=species:S:1:pos:R:3 pbc="T T T"
Tc 0.000 5.730 0.000
Hg 1.543 -1.543 2.051
Hg 0.000 0.000 0.000
Tc 3.254 0.000 0.000
Tc 5.730 0.000 0.000
Hg 1.543 1.543 2.051
Hg -1.543 1.543 2.051
Tc 0.000 3.254 0.000
Hg 2.949 2.949 0.000
```

## Properties
As for the density: 14.0 g cm⁻³. Its excess energy over the best structure of this formula in the dataset is 0 meV/atom.

---

Material: LiCd2Pd9
Method: DFT, PBE
State: relaxed

```
12
Lattice="-0.740 3.919 0.337 -3.796 -0.802 0.982 3.054 -0.410 11.464" Properties=species:S:1:pos:R:3 pbc="T T T"
Pd -2.268 1.558 0.660
Li 0.000 0.000 0.000
Cd 2.050 -0.275 7.696
Pd 1.157 1.754 5.901
Pd 2.204 1.613 9.834
Pd -1.270 1.424 4.408
Pd -1.419 -0.465 2.291
Pd 0.109 1.895 1.968
Cd 1.004 -0.135 3.768
Pd -0.371 -0.606 6.223
Pd 0.676 -0.747 10.156
Pd -0.213 1.282 8.376
```

## Properties
As for the density: 10.4 g cm⁻³. Its electronic total energy is -4.438 eV per atom.

---

Material: SrLaZnNi
Method: DFT, PBE
State: relaxed

```
4
Lattice="-4.338 -2.906 0.279 -0.001 -4.437 2.766 -2.673 -0.284 4.485" Properties=species:S:1:pos:R:3 pbc="T T T"
La 0.000 0.000 0.000
Zn -5.259 -5.720 5.647
Ni -1.753 -1.907 1.882
Sr -3.506 -3.813 3.765
```

## Properties
As for the density: 5.8 g cm⁻³. Its electronic total energy is -3.528 eV per atom.

---

Material: Be4RuSe
Method: DFT, PBE
State: relaxed

```
6
Lattice="0.000 3.160 3.160 3.160 0.000 3.160 3.160 3.160 0.000" Properties=species:S:1:pos:R:3 pbc="T T T"
Be 3.929 3.929 3.929
Se 0.000 0.000 0.000
Be 2.391 2.391 3.929
Be 2.391 3.929 2.391
Be 3.929 2.391 2.391
Ru 1.580 1.580 1.580
```

## Properties
As for the density: 5.7 g cm⁻³. Its uncorrected formation energy is 6 meV per atom.

---

Material: Rb2Rh3S6
Method: DFT, PBE
State: relaxed

```
11
Lattice="6.055 0.000 1.801 3.028 5.471 0.900 -0.077 0.000 7.623" Properties=species:S:1:pos:R:3 pbc="T T T"
S 4.297 3.659 7.713
S 7.736 3.659 3.511
Rh 3.028 1.837 0.900
Rh 6.055 3.635 1.801
Rb 6.017 1.824 5.612
Rb 2.989 3.647 4.712
S 1.700 0.000 1.720
S 4.279 0.000 7.703
S 1.270 1.812 6.812
Rh 0.000 0.000 0.000
S 4.709 1.812 2.611
```

## Properties
As for the density: 4.4 g cm⁻³. Its uncorrected formation energy is -654 meV per atom.

---

Short version: magnetic moment = 6.73, 0.00, 0.00, 0.00, 4.98, 0.00, 0.00, 0.77, 0.00, 0.00, 0.00, 0.00, 0.00, 1.75, 0.00, 0.00, 6.41, 0.00, 0.00, 0.00, 0.00, 0.00, 0.00, 0.00 μB per formula unit, in the order given.